[1]
Computed, not measured: an optimized crystal structure of CsBaNb3 at the PBE-GGA level of DFT.

The structure in extended XYZ format:
```
5
Lattice="5.246 0.000 0.000 0.000 5.246 0.000 0.000 0.000 5.246" Properties=species:S:1:pos:R:3 pbc="T T T"
Cs 0.000 0.000 0.000
Ba 2.623 2.623 2.623
Nb 0.000 0.000 2.623
Nb 0.000 2.623 0.000
Nb 2.623 0.000 0.000
```

Values from the calculation:
Fermi-level density of states	5.33	states/eV/cell
calculated formation energy	2364	meV per atom
distance to the lowest polymorph of the same formula	0	meV/atom
uncorrected energy	-21.17	eV per cell
density	6.3	g/cm3

***

[2]
Computed, not measured: an optimized crystal structure of CsBaNb at the PBE-GGA level of DFT.

The structure in extended XYZ format:
```
6
Lattice="3.689 0.000 0.000 -1.049 7.783 0.000 -0.763 -3.938 10.016" Properties=species:S:1:pos:R:3 pbc="T T T"
Cs 0.000 0.000 0.000
Cs -0.599 3.886 1.363
Ba 2.357 -0.044 4.633
Ba 1.838 3.848 6.050
Nb -0.081 0.902 7.631
Nb 1.117 -1.000 7.632
```

Values from the calculation:
Fermi-level density of states	8.39	states/eV/cell
calculated formation energy	767	meV per atom
distance to the lowest polymorph of the same formula	323	meV/atom
uncorrected energy	-21.09	eV per cell
density	4.2	g/cm3

***

- What is the distance to the lowest polymorph of the same formula in the first record?
  0 meV/atom